Material: YAs2
Method: DFT, PBE
State: relaxed

abc: 5.1703 5.1703 5.6860
angles: 90.00 90.00 120.00
With the nearest neighbours (Å) after each atom.
Fractional coordinates of all 6 atoms:
As: 0.0000 0.0000 0.0000  2 As 2.84
As: 0.3333 0.6667 0.7500  5 Y 2.84-2.99
As: 0.6667 0.3333 0.2500  5 Y 2.84-2.99
Y: 0.3333 0.6667 0.2500  5 As 2.84-2.99
As: 0.0000 0.0000 0.5000  2 As 2.84
Y: 0.6667 0.3333 0.7500  5 As 2.84-2.99

## Properties
The space group is P6_3/mmc. The calculation puts the energy relative to the elements at -1.98 eV/f.u. For the density of states at the Fermi level, the calculation gives 5.53 states/eV per cell. The calculation puts the density at 6.0 g/cm³. Its uncorrected energy is -5.915 eV per atom.

Material: Y4As5
Method: DFT, PBE
State: relaxed

abc: 7.4258 7.4258 7.4258
angles: 94.71 94.71 146.71
With the nearest neighbours (Å) after each atom.
Fractional coordinates of all 9 atoms:
As: 0.0000 0.0000 0.0000  4 Y 2.78
Y: 0.0000 0.2766 0.2766  5 As 2.78-2.97
As: 0.3164 0.3164 0.6329  2 As 2.85, 4 Y 2.97
As: 0.6836 0.3164 0.0000  2 As 2.85, 4 Y 2.97
As: 0.3164 0.6836 0.0000  2 As 2.85, 4 Y 2.97
Y: 0.0000 0.7234 0.7234  5 As 2.78-2.97
As: 0.6836 0.6836 0.3671  2 As 2.85, 4 Y 2.97
Y: 0.2766 0.0000 0.2766  5 As 2.78-2.97
Y: 0.7234 0.0000 0.7234  5 As 2.78-2.97

## Properties
The space group is I4/mmm. The calculation puts the energy relative to the elements at -8.03 eV/f.u. For the density of states at the Fermi level, the calculation gives 3.62 states/eV per cell. The calculation puts the energy above the lowest structure with this stoichiometry at 223 meV/atom. The calculation puts the density at 5.6 g/cm³. Its uncorrected energy is -6.348 eV per atom.

Material: YAs3
Method: DFT, PBE
State: relaxed

abc: 5.8069 5.8069 5.8069
angles: 138.82 138.82 59.64
With the nearest neighbours (Å) after each atom.
Fractional coordinates of all 4 atoms:
As: 0.5000 0.5000 0.0000  4 Y 2.89
As: 0.7500 0.2500 0.5000  4 As 2.89
As: 0.2500 0.7500 0.5000  4 As 2.89
Y: 0.0000 0.0000 0.0000  4 As 2.89

## Properties
The space group is I4/mmm. The calculation puts the energy relative to the elements at -2.06 eV/f.u. For the density of states at the Fermi level, the calculation gives 2.42 states/eV per cell. The calculation puts the density at 6.2 g/cm³. Its uncorrected energy is -5.618 eV per atom.

Material: YAs3
Method: DFT, PBE
State: relaxed

abc: 5.5723 5.5723 5.5723
angles: 138.70 125.40 70.70
With the nearest neighbours (Å) after each atom.
Fractional coordinates of all 4 atoms:
As: 0.1775 0.5000 0.6775  2 As 2.45
As: 0.6878 0.7100 0.9778  1 As 2.45
As: 0.2678 0.2900 0.9778  1 As 2.45
Y: 0.7003 0.0000 0.7003  10 As 2.97-3.32

## Properties
The space group is Imm2. The calculation puts the energy relative to the elements at -2.20 eV/f.u. For the density of states at the Fermi level, the calculation gives 2.26 states/eV per cell. The calculation puts the density at 5.7 g/cm³. Its uncorrected energy is -5.653 eV per atom.

Material: YAs3
Method: DFT, PBE
State: relaxed

abc: 4.5735 4.5735 5.5562
angles: 90.00 90.00 120.00
With the nearest neighbours (Å) after each atom.
Fractional coordinates of all 4 atoms:
As: 0.0000 0.0000 0.0072  5 As 2.70-2.97, 3 Y 3.00
Y: 0.6667 0.3333 0.7500  8 As 2.78-3.00
As: 0.6667 0.3333 0.2500  2 Y 2.78, 6 As 2.97
As: 0.0000 0.0000 0.4928  5 As 2.70-2.97, 3 Y 3.00

## Properties
The space group is P-6m2. The calculation puts the energy relative to the elements at -1.52 eV/f.u. For the density of states at the Fermi level, the calculation gives 1.26 states/eV per cell. The calculation puts the density at 5.2 g/cm³. Its uncorrected energy is -5.483 eV per atom.

Material: Y6As7
Method: DFT, PBE
State: relaxed

abc: 12.3460 12.3460 12.3460
angles: 26.95 26.95 26.95
With the nearest neighbours (Å) after each atom.
Fractional coordinates of all 13 atoms:
Y: 0.9473 0.9473 0.9473  6 As 2.94
As: 0.5000 0.5000 0.5000  6 Y 3.50, 6 As 3.84
Y: 0.8022 0.8022 0.8022  3 As 2.87
As: 0.0689 0.5702 0.5702  4 As 2.87-2.89, 5 Y 2.87-3.04
Y: 0.6650 0.6650 0.6650  6 As 2.94-3.04
As: 0.4298 0.4298 0.9311  4 As 2.87-2.89, 5 Y 2.87-3.04
Y: 0.0527 0.0527 0.0527  6 As 2.94
As: 0.5702 0.5702 0.0689  4 As 2.87-2.89, 5 Y 2.87-3.04
Y: 0.1978 0.1978 0.1978  3 As 2.87
As: 0.4298 0.9311 0.4298  4 As 2.87-2.89, 5 Y 2.87-3.04
As: 0.9311 0.4298 0.4298  4 As 2.87-2.89, 5 Y 2.87-3.04
As: 0.5702 0.0689 0.5702  4 As 2.87-2.89, 5 Y 2.87-3.04
Y: 0.3350 0.3350 0.3350  6 As 2.94-3.04

## Properties
The space group is R-3m. The calculation puts the energy relative to the elements at -8.55 eV/f.u. For the density of states at the Fermi level, the calculation gives 11.52 states/eV per cell. The calculation puts the density at 5.2 g/cm³. Its uncorrected energy is -6.145 eV per atom.

Material: Y2As3
Method: DFT, PBE
State: relaxed

abc: 8.5572 8.2163 5.6359
angles: 73.67 67.13 39.20
With the nearest neighbours (Å) after each atom.
Fractional coordinates of all 10 atoms:
As: 0.8100 0.9351 0.4843  2 As 2.82, 3 Y 2.91-3.09
Y: 0.9217 0.6766 0.0186  8 As 2.91-3.22
As: 0.1145 0.8855 0.8855  6 Y 2.91-2.99
As: 0.3645 0.1355 0.1355  6 Y 2.91-2.99
As: 0.7657 0.4794 0.4400  2 As 2.82, 3 Y 2.91-3.09
As: 0.3149 0.4400 0.4794  2 As 2.82, 3 Y 2.91-3.09
Y: 0.2314 0.8669 0.3283  8 As 2.91-3.22
Y: 0.3831 0.0186 0.6766  8 As 2.91-3.22
Y: 0.5734 0.3283 0.8669  8 As 2.91-3.22
As: 0.7706 0.4843 0.9351  2 As 2.82, 3 Y 2.91-3.09

## Properties
The space group is Fdd2. The calculation puts the energy relative to the elements at -5.02 eV/f.u. For the density of states at the Fermi level, the calculation gives 4.69 states/eV per cell. The calculation puts the energy above the lowest structure with this stoichiometry at 0 meV/atom. The calculation puts the density at 5.8 g/cm³. Its uncorrected energy is -6.378 eV per atom.

Material: YAs2
Method: DFT, PBE
State: relaxed

abc: 5.4301 5.4301 7.8124
angles: 78.41 78.41 41.64
With the nearest neighbours (Å) after each atom.
Fractional coordinates of all 6 atoms:
Y: 0.3398 0.3398 0.6732  8 As 2.89-3.10
As: 0.3204 0.3204 0.0478  2 As 2.60, 1 Y 2.89
Y: 0.6602 0.6602 0.3268  8 As 2.89-3.10
As: 0.0596 0.0596 0.6264  1 As 2.53
As: 0.9404 0.9404 0.3736  1 As 2.53
As: 0.6796 0.6796 0.9522  2 As 2.60, 1 Y 2.89

## Properties
The space group is C2/m. The calculation puts the energy relative to the elements at -2.54 eV/f.u. For the density of states at the Fermi level, the calculation gives 1.41 states/eV per cell. The calculation puts the density at 5.3 g/cm³. Its uncorrected energy is -6.102 eV per atom.

Material: YAs3
Method: DFT, PBE
State: relaxed

abc: 3.4570 3.4570 7.7474
angles: 90.00 90.00 107.74
With the nearest neighbours (Å) after each atom.
Fractional coordinates of all 4 atoms:
As: 0.0000 0.0000 0.9957  2 As 2.79, 2 Y 2.83
As: 0.0000 0.0000 0.5043  2 As 2.79, 2 Y 2.83
As: 0.5000 0.5000 0.7500  4 As 2.79
Y: 0.5000 0.5000 0.2500  4 As 2.83

## Properties
The space group is Cmmm. The calculation puts the energy relative to the elements at -0.84 eV/f.u. For the density of states at the Fermi level, the calculation gives 1.84 states/eV per cell. The calculation puts the density at 5.9 g/cm³. Its uncorrected energy is -5.313 eV per atom.

Material: YAs3
Method: DFT, PBE
State: relaxed

abc: 3.9377 3.9377 5.5225
angles: 90.00 90.00 90.00
With the nearest neighbours (Å) after each atom.
Fractional coordinates of all 4 atoms:
As: 0.0000 0.0000 0.4837  1 As 2.58
Y: 0.5000 0.5000 0.7500  2 As 2.76
As: 0.5000 0.5000 0.2500  2 Y 2.76, 8 As 3.07
As: 0.0000 0.0000 0.0163  1 As 2.58

## Properties
The space group is P4/mmm. The calculation puts the energy relative to the elements at -1.84 eV/f.u. For the density of states at the Fermi level, the calculation gives 2.01 states/eV per cell. The calculation puts the density at 6.1 g/cm³. Its uncorrected energy is -5.563 eV per atom.

Material: YAs2
Method: DFT, PBE
State: relaxed

abc: 11.1767 11.1767 11.1767
angles: 160.21 160.21 28.13
With the nearest neighbours (Å) after each atom.
Fractional coordinates of all 6 atoms:
As: 0.1925 0.6925 0.5000  1 As 2.49
As: 0.5575 0.5575 0.0000  1 As 2.49
Y: 0.7500 0.2500 0.5000  8 As 2.99
As: 0.4425 0.4425 0.0000  1 As 2.49
As: 0.3075 0.8075 0.5000  1 As 2.49
Y: 0.0000 0.0000 0.0000  8 As 2.99

## Properties
The space group is I4_1/amd. The calculation puts the energy relative to the elements at -2.27 eV/f.u. For the density of states at the Fermi level, the calculation gives 2.48 states/eV per cell. The calculation puts the density at 5.0 g/cm³. Its uncorrected energy is -6.012 eV per atom.

Material: YAs2
Method: DFT, PBE
State: relaxed

abc: 8.2084 8.2084 3.6691
angles: 90.00 90.00 120.00
With the nearest neighbours (Å) after each atom.
Fractional coordinates of all 9 atoms:
Y: 0.6667 0.3333 0.0000  9 As 2.96-3.00
As: 0.5229 0.0000 0.5000  2 As 2.68, 4 Y 3.00
As: 0.0000 0.2841 0.0000  2 As 2.68, 4 Y 2.96-2.97
As: 0.0000 0.5229 0.5000  2 As 2.68, 4 Y 3.00
As: 0.7159 0.7159 0.0000  2 As 2.68, 4 Y 2.96-2.97
As: 0.4771 0.4771 0.5000  2 As 2.68, 4 Y 3.00
As: 0.2841 0.0000 0.0000  2 As 2.68, 4 Y 2.96-2.97
Y: 0.3333 0.6667 0.0000  9 As 2.96-3.00
Y: 0.0000 0.0000 0.5000  6 As 2.97

## Properties
The space group is P-62m. The calculation puts the energy relative to the elements at -1.99 eV/f.u. For the density of states at the Fermi level, the calculation gives 5.69 states/eV per cell. The calculation puts the density at 5.6 g/cm³. Its uncorrected energy is -5.917 eV per atom.

Material: YAs4
Method: DFT, PBE
State: relaxed

abc: 5.5518 5.5518 5.5518
angles: 109.47 109.47 109.47
With the nearest neighbours (Å) after each atom.
Fractional coordinates of all 5 atoms:
As: 0.5000 0.5000 0.5000  2 Y 2.78
As: 0.5000 0.0000 0.0000  2 Y 2.78
As: 0.0000 0.0000 0.5000  2 Y 2.78
Y: 0.0000 0.0000 0.0000  8 As 2.78
As: 0.0000 0.5000 0.0000  2 Y 2.78

## Properties
The space group is Im-3m. The calculation puts the energy relative to the elements at 0.02 eV/f.u. For the density of states at the Fermi level, the calculation gives 2.53 states/eV per cell. The calculation puts the energy above the lowest structure with this stoichiometry at 0 meV/atom. The calculation puts the density at 4.9 g/cm³. Its uncorrected energy is -5.009 eV per atom.